# CaAc2ReO8

A relaxed structure of CaAc2ReO8 (GGA-PBE, Alexandria via LeMat-Bulk).

Output
**M_tot**: 0.087 μB per atom
**Formation energy from raw total energies**: -2.426 eV/atom

a b c (Å): 4.8409 5.3291 7.3502
angles (deg): 89.89 80.46 86.38
Space group P-1 (No. 2)
Asymmetric unit:
Ca 0.0000 0.0000 0.0000 [1 per cell]
Ac 0.3750 0.4957 0.2749 [2 per cell]
Re 0.0000 0.0000 0.5000 [1 per cell]
O 0.1492 0.2794 0.6003 [2 per cell]
O 0.2182 0.5970 0.9758 [2 per cell]
O 0.2285 0.0445 0.2567 [2 per cell]
O 0.2828 0.7831 0.5662 [2 per cell]